# 1
A crystal of Cs3CdGa relaxed with PBEsol, computed with SCAN.

POSCAR file:
```
Cs3CdGa
1.0
-5.7662 -1.5367 3.5182
3.8162 -2.9880 4.9494
0.4196 6.0579 3.3337
Cs Ga Cd
3 1 1
direct
0.0000 0.5000 0.0000
0.0000 0.0000 0.5000
0.5000 0.0000 0.0000
0.0000 0.0000 0.0000
0.5000 0.5000 0.5000
```

Values from the calculation:
- E_tot (eV per atom) = -31.772
- E_form (meV per atom) = 266
- SG = Pm-3m, No. 221
- D(E_F) (states/eV/f.u.) = 2.76
- M_tot (μB/f.u.) = 0.000

# 2
A crystal of TcPtW2 relaxed with PBEsol, computed with SCAN.

POSCAR file:
```
TcPtW2
1.0
-3.3829 -1.8485 -0.7577
1.0019 -0.2806 -3.7885
2.8952 -2.3434 2.9763
W Pt Tc
2 1 1
direct
0.7500 0.2500 0.5000
0.2500 0.7500 0.5000
0.5000 0.5000 0.0000
0.0000 0.0000 0.0000
```

Values from the calculation:
- E_tot (eV per atom) = -61.322
- E_form (meV per atom) = -165
- SG = I4/mmm, No. 139
- D(E_F) (states/eV/f.u.) = 2.72
- E above lowest polymorph (meV/atom) = 16
- M_tot (μB/f.u.) = 0.000

E_form of number 2 (TcPtW2)?
-165 meV per atom